Run P
Below is a relaxed KICl3 crystal, with properties calculated at the GGA-PBE level.

Cell lengths 10.408, 15.006, 5.745 Å; angles 90.00, 123.24, 90.00 degrees
Space group C2/m (No. 12)
One atom of each set of equivalent atoms:
K 0.000 0.176 0.000
I 0.240 0.000 0.739
Cl 0.227 0.169 0.727
Cl 0.230 0.000 0.229

Spin magnetization: 0.0 Bohr magnetons per cell



Run Q
Below is a relaxed KICl3 crystal, with properties calculated at the GGA-PBE level.

Cell lengths 5.641, 5.641, 5.641 Å; angles 90.00, 90.00, 90.00 degrees
Space group Pm-3m (No. 221)
One atom of each set of equivalent atoms:
K 0.000 0.000 0.000
I 0.500 0.500 0.500
Cl 0.000 0.500 0.500

Spin magnetization: 0.0 Bohr magnetons per cell



Run R
Below is a relaxed KICl3 crystal, with properties calculated at the GGA-PBE level.

Cell lengths 5.893, 5.893, 5.893 Å; angles 90.00, 90.00, 90.00 degrees
Space group Pm-3m (No. 221)
One atom of each set of equivalent atoms:
K 0.000 0.000 0.000
I 0.500 0.500 0.500
Cl 0.000 0.000 0.500

Spin magnetization: 3.0 Bohr magnetons per cell



Stability summary: most stable run P, least stable run R.



Run P
Below is a relaxed KI2Cl crystal, with properties calculated at the GGA-PBE level.

Cell lengths 8.407, 8.407, 8.407 Å; angles 90.00, 90.00, 90.00 degrees
Space group Fm-3m (No. 225)
One atom of each set of equivalent atoms:
K 0.000 0.000 0.000
I 0.250 0.250 0.250
Cl 0.000 0.000 0.500

Spin magnetization: 8.0 Bohr magnetons per cell



Run Q
Below is a relaxed KI2Cl crystal, with properties calculated at the GGA-PBE level.

Cell lengths 6.486, 6.486, 19.095 Å; angles 90.00, 90.00, 90.00 degrees
Space group I-42d (No. 122)
One atom of each set of equivalent atoms:
K 0.000 0.000 0.000
I 0.168 0.250 0.625
Cl 0.000 0.000 0.500

Spin magnetization: 3.3 Bohr magnetons per cell



Stability summary: most stable run Q, least stable run P.



Run P
Below is a relaxed KICl6 crystal, with properties calculated at the GGA-PBE level.

Cell lengths 11.166, 8.873, 11.247 Å; angles 90.00, 90.73, 90.00 degrees
Space group C2/c (No. 15)
One atom of each set of equivalent atoms:
K 0.000 0.014 0.250
I 0.250 0.250 0.500
Cl 0.056 0.325 0.403
Cl 0.163 0.293 0.701
Cl 0.179 0.020 0.003

Spin magnetization: 0.0 Bohr magnetons per cell



Run Q
Below is a relaxed KICl6 crystal, with properties calculated at the GGA-PBE level.

Cell lengths 8.387, 10.740, 6.960 Å; angles 90.00, 115.83, 90.00 degrees
Space group C2/m (No. 12)
One atom of each set of equivalent atoms:
K 0.000 0.000 0.000
I 0.000 0.500 0.500
Cl 0.126 0.337 0.786
Cl 0.211 0.000 0.527

Spin magnetization: 0.0 Bohr magnetons per cell



Stability summary: most stable run P, least stable run Q.



Run P
Below is a relaxed K2I2Cl7 crystal, with properties calculated at the GGA-PBE level.

Cell lengths 9.207, 11.023, 7.814 Å; angles 90.00, 97.96, 90.00 degrees
Space group C2/m (No. 12)
One atom of each set of equivalent atoms:
K 0.000 0.249 0.000
I 0.214 0.000 0.469
Cl 0.000 0.500 0.500
Cl 0.206 0.000 0.153
Cl 0.222 0.158 0.757

Spin magnetization: 1.9 Bohr magnetons per cell



Run Q
Below is a relaxed K2I2Cl7 crystal, with properties calculated at the GGA-PBE level.

Cell lengths 7.149, 15.820, 7.949 Å; angles 90.00, 96.24, 90.00 degrees
Space group P2_1/c (No. 14)
One atom of each set of equivalent atoms:
K 0.095 0.153 0.462
I 0.351 0.616 0.699
Cl 0.070 0.524 0.751
Cl 0.175 0.749 0.332
Cl 0.359 0.205 0.812
Cl 0.500 0.000 0.000

Spin magnetization: 2.1 Bohr magnetons per cell



Stability summary: most stable run Q, least stable run P.